First-principles (PBE+U) data for an optimized crystal structure of RbNiIO2, as listed in the Alexandria database.

abc: 4.4385 4.4385 7.4553
angles: 90.00 90.00 90.00
With the nearest neighbours (Å) after each atom.
Element x y z (fractional)
I1 0.0000 0.0000 0.5000  4 Ni 3.14
Ni1 0.5000 0.5000 0.5000  4 I 3.14
O1 0.0000 0.5000 0.0000  2 Rb 2.22
O2 0.5000 0.0000 0.0000  2 Rb 2.22
Rb1 0.0000 0.0000 0.0000  4 O 2.22

## Properties
N(E_F) ... 5.59 states/eV/cell
Total DFT energy (no corrections) ... -10.79 eV per cell